1.
# V12Ge6W PBE-GGA relaxed
data_V12Ge6W
_chemical_formula_sum 'V36 Ge18 W3'
_cell_length_a 11.8457
_cell_length_b 11.8457
_cell_length_c 6.6021
_cell_angle_alpha 90.00
_cell_angle_beta 90.00
_cell_angle_gamma 120.00
_symmetry_space_group_name_H-M 'R -3'
_symmetry_Int_Tables_number 148
_symmetry_space_group_name_Hall '-R 3'
loop_
_atom_site_label
_atom_site_fract_x
_atom_site_fract_y
_atom_site_fract_z
V1 0.0066 0.1377 0.1670
V2 0.0586 0.5694 0.1777
Ge1 0.0205 0.2617 0.8307
W1 0.0000 0.0000 0.5000
# - density of states at the Fermi level (states/eV/cell) = 45.38
# - calculated formation energy (eV/atom) = -0.11
# - volume (A^3/atom) = 14.08
# - spin magnetization (μB per cell) = 0.000

***

2.
# V2Ge2W PBE-GGA relaxed
data_V2Ge2W
_chemical_formula_sum 'V4 Ge4 W2'
_cell_length_a 6.6638
_cell_length_b 6.6638
_cell_length_c 3.2820
_cell_angle_alpha 90.00
_cell_angle_beta 90.00
_cell_angle_gamma 90.00
_symmetry_space_group_name_H-M 'P 4/m b m'
_symmetry_Int_Tables_number 127
_symmetry_space_group_name_Hall '-P 4 2ab'
loop_
_atom_site_label
_atom_site_fract_x
_atom_site_fract_y
_atom_site_fract_z
V1 0.1624 0.3376 0.0000
Ge1 0.1368 0.6368 0.5000
W1 0.0000 0.0000 0.5000
# - density of states at the Fermi level (states/eV/cell) = 7.60
# - calculated formation energy (eV/atom) = -0.09
# - volume (A^3/atom) = 14.57
# - spin magnetization (μB per cell) = 0.000

***

3.
# VGeW PBE-GGA relaxed
data_VGeW
_chemical_formula_sum 'V2 Ge2 W2'
_cell_length_a 4.7136
_cell_length_b 3.1232
_cell_length_c 6.6156
_cell_angle_alpha 90.00
_cell_angle_beta 110.86
_cell_angle_gamma 90.00
_symmetry_space_group_name_H-M 'C 1 m 1'
_symmetry_Int_Tables_number 8
_symmetry_space_group_name_Hall 'C -2y'
loop_
_atom_site_label
_atom_site_fract_x
_atom_site_fract_y
_atom_site_fract_z
V1 0.0000 0.0000 0.0000
Ge1 0.4770 0.0000 0.6764
W1 0.1595 0.5000 0.3302
# - density of states at the Fermi level (states/eV/cell) = 2.83
# - calculated formation energy (eV/atom) = -0.01
# - volume (A^3/atom) = 15.17
# - energy relative to the lowest polymorph listed for this composition (meV/atom) = 24
# - spin magnetization (μB per cell) = 0.000

***

4.
# V2Ge6W PBE-GGA relaxed
data_V2Ge6W
_chemical_formula_sum 'V4 Ge12 W2'
_cell_length_a 4.8466
_cell_length_b 8.3868
_cell_length_c 6.6514
_cell_angle_alpha 90.00
_cell_angle_beta 90.00
_cell_angle_gamma 90.00
_symmetry_space_group_name_H-M 'C 2 2 2'
_symmetry_Int_Tables_number 21
_symmetry_space_group_name_Hall 'C 2 2'
loop_
_atom_site_label
_atom_site_fract_x
_atom_site_fract_y
_atom_site_fract_z
V1 0.2500 0.2500 0.1677
Ge1 0.0000 0.3327 0.5000
Ge2 0.2462 0.4155 0.8369
W1 0.0000 0.0000 0.5000
# - density of states at the Fermi level (states/eV/cell) = 10.50
# - calculated formation energy (eV/atom) = -0.08
# - volume (A^3/atom) = 15.02
# - spin magnetization (μB per cell) = 0.000

***

5.
# YVGe PBE-GGA relaxed
data_YVGe
_chemical_formula_sum 'Y4 V4 Ge4'
_cell_length_a 3.7398
_cell_length_b 15.5001
_cell_length_c 4.4660
_cell_angle_alpha 90.00
_cell_angle_beta 90.00
_cell_angle_gamma 90.00
_symmetry_space_group_name_H-M 'C m c m'
_symmetry_Int_Tables_number 63
_symmetry_space_group_name_Hall '-C 2c 2'
loop_
_atom_site_label
_atom_site_fract_x
_atom_site_fract_y
_atom_site_fract_z
Y1 0.0000 0.1615 0.2500
V1 0.0000 0.5000 0.0000
Ge1 0.0000 0.3505 0.2500
# - density of states at the Fermi level (states/eV/cell) = 9.73
# - calculated formation energy (eV/atom) = -0.18
# - volume (A^3/atom) = 21.57
# - spin magnetization (μB per cell) = 0.000

***

6.
# YVGe PBE-GGA relaxed
data_YVGe
_chemical_formula_sum 'Y4 V4 Ge4'
_cell_length_a 9.5262
_cell_length_b 4.3217
_cell_length_c 6.0036
_cell_angle_alpha 90.00
_cell_angle_beta 100.03
_cell_angle_gamma 90.00
_symmetry_space_group_name_H-M 'C 1 m 1'
_symmetry_Int_Tables_number 8
_symmetry_space_group_name_Hall 'C -2y'
loop_
_atom_site_label
_atom_site_fract_x
_atom_site_fract_y
_atom_site_fract_z
Y1 0.0000 0.0000 0.0000
Y2 0.2369 0.5000 0.3403
V1 0.0497 0.0000 0.5392
V2 0.3170 0.0000 0.7214
Ge1 0.1553 0.5000 0.7917
Ge2 0.4325 0.0000 0.3309
# - density of states at the Fermi level (states/eV/cell) = 8.76
# - calculated formation energy (eV/atom) = -0.27
# - volume (A^3/atom) = 20.28
# - spin magnetization (μB per cell) = 0.309

***

7.
# YVGe PBE-GGA relaxed
data_YVGe
_chemical_formula_sum 'Y4 V4 Ge4'
_cell_length_a 10.6203
_cell_length_b 3.7946
_cell_length_c 7.2113
_cell_angle_alpha 90.00
_cell_angle_beta 123.49
_cell_angle_gamma 90.00
_symmetry_space_group_name_H-M 'C 1 2/m 1'
_symmetry_Int_Tables_number 12
_symmetry_space_group_name_Hall '-C 2y'
loop_
_atom_site_label
_atom_site_fract_x
_atom_site_fract_y
_atom_site_fract_z
Y1 0.0697 0.0000 0.3008
V1 0.2011 0.5000 0.0695
Ge1 0.1423 0.5000 0.6711
# - density of states at the Fermi level (states/eV/cell) = 12.00
# - calculated formation energy (eV/atom) = -0.38
# - volume (A^3/atom) = 20.20
# - spin magnetization (μB per cell) = 2.815

***

8.
# YV3Ge PBE-GGA relaxed
data_YV3Ge
_chemical_formula_sum 'Y1 V3 Ge1'
_cell_length_a 4.6272
_cell_length_b 4.6272
_cell_length_c 4.6272
_cell_angle_alpha 90.00
_cell_angle_beta 90.00
_cell_angle_gamma 90.00
_symmetry_space_group_name_H-M 'P m -3 m'
_symmetry_Int_Tables_number 221
_symmetry_space_group_name_Hall '-P 4 2 3'
loop_
_atom_site_label
_atom_site_fract_x
_atom_site_fract_y
_atom_site_fract_z
Y1 0.0000 0.0000 0.0000
V1 0.0000 0.0000 0.5000
Ge1 0.5000 0.5000 0.5000
# - density of states at the Fermi level (states/eV/cell) = 8.18
# - calculated formation energy (eV/atom) = 2.03
# - volume (A^3/atom) = 19.81
# - spin magnetization (μB per cell) = 0.000